[1]
Here is an optimized crystal structure of Sm4Ga3Ge5 from the Alexandria database. Energies are from PBE.

DFT formation energy: -0.324 eV/atom
E_tot: -4.578 eV/atom
volume: 313 Å³/f.u.
size of the total moment: 0.00 μB per formula unit

Geometry as CIF:
```
data_Sm4Ga3Ge5
_chemical_formula_sum 'Sm4 Ga3 Ge5'
_symmetry_space_group_name_H-M 'P 1'
_symmetry_Int_Tables_number 1
_cell_length_a 7.296
_cell_length_b 7.296
_cell_length_c 11.792
_cell_angle_alpha 121.28
_cell_angle_beta 121.28
_cell_angle_gamma 36.61
loop_
_symmetry_equiv_pos_as_xyz
'x,y,z'
loop_
_atom_site_label
_atom_site_type_symbol
_atom_site_fract_x
_atom_site_fract_y
_atom_site_fract_z
Sm1 Sm 0.112 0.112 0.459
Sm2 Sm 0.244 0.244 0.828
Sm3 Sm 0.756 0.756 0.172
Sm4 Sm 0.888 0.888 0.541
Ga1 Ga 0.000 0.000 0.000
Ga2 Ga 0.396 0.396 0.132
Ga3 Ga 0.604 0.604 0.868
Ge1 Ge 0.238 0.238 0.330
Ge2 Ge 0.434 0.434 0.370
Ge3 Ge 0.500 0.500 0.000
Ge4 Ge 0.566 0.566 0.630
Ge5 Ge 0.762 0.762 0.670
```



[2]
Here is an optimized crystal structure of MgBe from the Alexandria database. Energies are from PBE.

DFT formation energy: 0.464 eV/atom
ΔE to the lowest computed polymorph: 0.50 eV/f.u.
E_tot: -2.196 eV/atom
volume: 31 Å³/f.u.
size of the total moment: 0.00 μB per formula unit

Geometry as CIF:
```
data_MgBe
_chemical_formula_sum 'Mg4 Be4'
_symmetry_space_group_name_H-M 'P 1'
_symmetry_Int_Tables_number 1
_cell_length_a 4.970
_cell_length_b 4.970
_cell_length_c 4.970
_cell_angle_alpha 90.00
_cell_angle_beta 90.00
_cell_angle_gamma 90.00
loop_
_symmetry_equiv_pos_as_xyz
'x,y,z'
loop_
_atom_site_label
_atom_site_type_symbol
_atom_site_fract_x
_atom_site_fract_y
_atom_site_fract_z
Mg1 Mg 0.097 0.097 0.097
Mg2 Mg 0.403 0.903 0.597
Mg3 Mg 0.597 0.403 0.903
Mg4 Mg 0.903 0.597 0.403
Be1 Be 0.103 0.603 0.897
Be2 Be 0.397 0.397 0.397
Be3 Be 0.603 0.897 0.103
Be4 Be 0.897 0.103 0.603
```